# 1
Material: PuO4F2
Method: DFT, PBE-GGA
State: relaxed

Results
Calculated volume = 18.5 A^3/atom
Space-group type = P-1
DOS at the Fermi energy = 1.21 states/eV/atom
DFT total energy = -7.2684 eV per atom
Mass density = 4.445 g/cm³
Uncorrected formation energy = -12.97 eV/f.u.

Structure (extended XYZ):
```
7
Lattice="-4.1277 -1.5115 -4.1273 4.7376 2.8785 -4.1835 4.2500 -1.8519 3.4507" Properties=species:S:1:pos:R:3 pbc="T T T"
Pu 0.0000 0.0000 0.0000
O 5.3767 1.3102 -3.3877
F 3.0483 -0.7634 -3.9691
O -0.5168 -1.7951 -1.4724
F 1.8116 0.2785 -0.8911
O 4.8316 -0.7848 -1.0939
O 0.0283 0.2999 -3.7662
```


# 2
Material: LiCd2Ni2
Method: DFT, PBE-GGA
State: relaxed

Results
Calculated volume = 16.4 A^3/atom
Space-group type = P4/mbm
Formation energy from the elements = 0.00 eV per atom
DOS at the Fermi energy = 0.58 states/eV/atom
DFT total energy = -3.0637 eV per atom
Mass density = 7.060 g/cm³

Structure (extended XYZ):
```
10
Lattice="-2.0491 5.8336 4.2724 -6.8429 -0.1297 -3.1050 -0.9039 -1.8325 2.0686" Properties=species:S:1:pos:R:3 pbc="T T T"
Li -4.4460 2.8520 0.5837
Cd -4.3251 3.8278 3.5445
Ni -6.0232 5.0813 1.8694
Ni -6.8424 2.1296 -1.1033
Cd -5.4708 0.0436 -0.3084
Ni -2.8688 0.6226 -0.7020
Ni -2.0496 3.5743 2.2708
Cd -7.4582 2.9421 1.3909
Li 0.0000 0.0000 0.0000
Cd -2.3377 0.9292 1.8452
```


# 3
Material: Li4Y3ThTe8
Method: DFT, PBE-GGA
State: relaxed

Results
Calculated volume = 28.9 A^3/atom
Space-group type = R-3m
DOS at the Fermi energy = 0.26 states/eV/atom
DFT total energy = -4.9735 eV per atom
Mass density = 5.551 g/cm³
Uncorrected formation energy = -19.98 eV/f.u.

Structure (extended XYZ):
```
16
Lattice="8.6759 0.0000 0.0000 0.0000 8.6915 0.0033 -4.3380 -4.3342 6.1368" Properties=species:S:1:pos:R:3 pbc="T T T"
Li 4.3380 0.0000 0.0000
Y 2.1690 2.1786 3.0701
Te 2.1962 6.5920 0.0362
Li -2.1690 -2.1671 3.0684
Te 0.0000 -0.0320 3.0414
Te -2.1418 -2.2347 6.1039
Y 4.3380 4.3457 0.0017
Th 0.0000 4.3457 0.0017
Te 4.3380 -0.0405 2.9972
Te 4.3379 4.3892 3.0987
Li 2.1690 -2.1671 3.0684
Y -2.1690 2.1786 3.0701
Te 6.4797 6.5920 0.0362
Te 0.0000 4.3977 3.1430
Te 2.1418 -2.2347 6.1039
Li 0.0000 0.0000 0.0000
```


# 4
Material: FeIBr2
Method: DFT, PBE-GGA
State: relaxed

Results
Calculated volume = 35.6 A^3/atom
Space-group type = I-42d
DOS at the Fermi energy = 2.19 states/eV/atom
DFT total energy = -3.3336 eV per atom
Mass density = 3.990 g/cm³
Uncorrected formation energy = 0.02 eV/f.u.

Structure (extended XYZ):
```
8
Lattice="-3.7559 5.0660 4.1655 -3.7412 -5.5975 3.4343 -0.1908 -0.5004 7.2932" Properties=species:S:1:pos:R:3 pbc="T T T"
I 0.0000 0.0000 0.0000
Br -3.4575 -1.3272 8.7816
I -3.8476 2.1499 7.6293
Fe -3.8403 -3.1818 7.2637
Br -3.3604 -2.3092 5.0505
Br -2.3578 1.6603 4.2960
Br -6.2001 -0.0878 11.6580
Fe -3.7486 -0.2658 3.7999
```


# 5
Material: KSr3C
Method: DFT, PBE-GGA
State: relaxed

Results
Calculated volume = 38.5 A^3/atom
Space-group type = Pm-3m
Formation energy from the elements = 0.43 eV per atom
DOS at the Fermi energy = 1.22 states/eV/atom
DFT total energy = -2.6478 eV per atom
Mass density = 2.709 g/cm³

Structure (extended XYZ):
```
5
Lattice="5.7735 0.0000 0.0000 0.0000 5.7735 0.0000 0.0000 0.0000 5.7735" Properties=species:S:1:pos:R:3 pbc="T T T"
C 0.0000 0.0000 0.0000
Sr 2.8868 0.0000 0.0000
K 2.8868 2.8868 2.8868
Sr 0.0000 2.8868 0.0000
Sr 0.0000 0.0000 2.8868
```


# 6
Material: CdSn2Hg2
Method: DFT, PBE-GGA
State: relaxed

Results
Calculated volume = 27.5 A^3/atom
Space-group type = P4/mbm
Formation energy from the elements = 0.10 eV per atom
DOS at the Fermi energy = 0.46 states/eV/atom
DFT total energy = -1.8077 eV per atom
Mass density = 9.081 g/cm³

Structure (extended XYZ):
```
10
Lattice="7.7984 0.0000 0.0000 0.0000 7.7984 0.0000 0.0000 0.0000 4.5164" Properties=species:S:1:pos:R:3 pbc="T T T"
Hg 5.2237 6.4739 2.2582
Sn 6.7178 4.9798 0.0000
Cd 3.8992 3.8992 0.0000
Cd 0.0000 0.0000 0.0000
Sn 4.9798 1.0806 0.0000
Hg 6.4739 2.5747 2.2582
Hg 1.3245 5.2237 2.2582
Sn 2.8186 6.7178 0.0000
Sn 1.0806 2.8186 0.0000
Hg 2.5747 1.3245 2.2582
```


# 7
Material: TlCuF3
Method: DFT, PBE-GGA
State: relaxed

Results
Calculated volume = 17.0 A^3/atom
Space-group type = C2/c
DOS at the Fermi energy = 0.00 states/eV/atom
DFT total energy = -3.9869 eV per atom
Mass density = 6.332 g/cm³
Uncorrected formation energy = -7.86 eV/f.u.

Structure (extended XYZ):
```
20
Lattice="-11.0199 2.7344 -6.6717 -3.0109 -2.0559 -7.0535 3.5929 -6.6090 2.5408" Properties=species:S:1:pos:R:3 pbc="T T T"
F -3.3441 -2.0723 -4.6661
F -7.0110 -1.0490 -9.0654
F -5.0173 -0.9903 -6.9596
Cu 1.3920 -4.8577 0.8272
F -7.0938 -3.8582 -6.5183
F -2.6291 -1.2987 -1.7927
F -7.8088 -4.6318 -9.3917
F -3.4268 -4.8815 -2.1190
Cu -3.1240 -3.1383 -3.0567
F -9.1950 -2.3154 -7.7901
Tl -0.7194 -6.1802 -2.2512
F -5.4206 -4.9402 -4.2248
F -8.0645 -1.0412 -5.7064
Tl -6.3869 -2.4670 -4.3652
Tl -4.0509 -3.4635 -6.8192
Tl -9.7184 0.2497 -8.9332
F -2.3734 -4.8893 -5.4780
F -1.2428 -3.6151 -3.3943
Cu -7.3139 -2.7922 -8.1277
Cu -11.8298 -1.0728 -12.0117
```


# 8
Material: CeYSe
Method: DFT, PBE-GGA
State: relaxed

Results
Calculated volume = 29.4 A^3/atom
Space-group type = P3m1
DOS at the Fermi energy = 2.45 states/eV/atom
DFT total energy = -6.3066 eV per atom
Mass density = 5.799 g/cm³
Uncorrected formation energy = -3.04 eV/f.u.

Structure (extended XYZ):
```
3
Lattice="3.8925 0.0000 0.0000 -1.9462 3.3710 0.0000 0.0000 0.0000 6.7213" Properties=species:S:1:pos:R:3 pbc="T T T"
Y 0.0000 2.2473 4.0774
Ce 0.0000 0.0000 0.3572
Se 1.9462 1.1237 2.2868
```